DFT (PBE with a Hubbard U) results for crystalline SrTiV2O at its relaxed geometry.

For the total moment, the calculation gives 7.7 μB/cell. The value obtained for the mass density is 3.5 g cm⁻³. The calculation puts the final energy at -5.52 eV/atom.

The structure belongs to space group P4/mmm (No. 123); the cell edges are 5.5930, 5.5930 and 3.7917 Å and the angles 90.00°, 90.00° and 90.00°. The inequivalent atoms are Sr at (0.0000, 0.0000, 0.0000), Ti at (0.5000, 0.5000, 0.5000), V at (0.0000, 0.5000, 0.5000) and O at (0.5000, 0.5000, 0.0000).